Te2IrPt: relaxed, PBEsol.

Cell lengths 3.812, 3.818, 6.808 Å; angles 106.14, 90.00, 119.95 degrees
Element x y z (fractional)
1 Ir 0.000 0.000 0.500
2 Pt 0.500 0.000 0.000
3 Te 0.746 0.492 0.740
4 Te 0.254 0.508 0.260

Output
calculated volume: 20.33 A^3/atom
polymorph energy (0 for the lowest one): 166 meV/atom
formation energy (no corrections): 0.055 eV/atom
N(E_F): 3.057 states/eV/f.u.
DFT total energy: -0.217 Ha/atom

=====

LiAgBr2: relaxed, PBEsol.

Cell lengths 3.948, 3.948, 6.792 Å; angles 73.10, 73.10, 60.00 degrees
Element x y z (fractional)
1 Ag 0.500 0.500 0.500
2 Br 0.746 0.746 0.762
3 Br 0.254 0.254 0.238
4 Li 0.000 0.000 0.000

Output
calculated volume: 21.59 A^3/atom
polymorph energy (0 for the lowest one): 9 meV/atom
formation energy (no corrections): -0.886 eV/atom
N(E_F): 0.000 states/eV/f.u.
DFT total energy: -0.115 Ha/atom

=====

HPbSN2: relaxed, PBEsol.

Cell lengths 4.385, 4.385, 5.305 Å; angles 90.00, 90.00, 90.00 degrees
Element x y z (fractional)
1 Pb 0.000 0.000 0.000
2 H 0.500 0.500 0.500
3 S 0.000 0.000 0.500
4 N 0.000 0.500 0.000
5 N 0.500 0.000 0.000

Output
calculated volume: 20.40 A^3/atom
N(E_F): 3.414 states/eV/f.u.
DFT total energy: -0.129 Ha/atom

=====

Number 1: spin magnetization 0.00 μB/cell. Number 2: spin magnetization 0.00 μB/cell. Number 3: spin magnetization 3.75 μB/cell.